Entry 1:
Below is a geometry-optimized KSrLa2S4 structure, with properties calculated at the PBE-GGA level.

a b c (Å): 4.231 7.469 7.347
angles (deg): 71.03 90.00 90.00
Positions (direct):
Sr (0.000, 0.500, 0.500)
S (0.500, 0.236, 0.749)
S (0.500, 0.764, 0.251)
S (0.000, 0.774, 0.735)
S (0.000, 0.226, 0.265)
La (0.000, 0.000, 0.000)
La (0.500, 0.000, 0.500)
K (0.500, 0.500, 0.000)

Computed properties:
The total energy is -45.1 eV per formula unit. As for the space-group type: No. 10. The magnetic moment comes out at 0.00 μB per formula unit. The density of states at the Fermi level comes out at 3.2 states/eV per cell. The volume comes out at 219.55 Å³/cell. As for the formation energy from raw total energies: -1994 meV per atom.

Entry 2:
Below is a geometry-optimized BaTa3F structure, with properties calculated at the PBE-GGA level.

a b c (Å): 4.657 4.657 4.657
angles (deg): 90.00 90.00 90.00
Positions (direct):
Ta (0.000, 0.500, 0.000)
Ta (0.500, 0.000, 0.000)
Ta (0.000, 0.000, 0.500)
F (0.000, 0.000, 0.000)
Ba (0.500, 0.500, 0.500)

Computed properties:
The total energy is -35.2 eV per formula unit. As for the space-group type: No. 221. The magnetic moment comes out at 0.00 μB per formula unit. As for the energy relative to the lowest polymorph listed for this composition: 0 kJ/mol of formula units. The density of states at the Fermi level comes out at 5.8 states/eV per cell. The volume comes out at 101.02 Å³/cell. As for the formation energy from raw total energies: 834 meV per atom.

Entry 3:
Below is a geometry-optimized KNp2PO8 structure, with properties calculated at the PBE-GGA level.

a b c (Å): 5.104 5.103 6.952
angles (deg): 85.83 85.84 81.21
Last column: magnetic moment on the atom in μB.
Positions (direct):
O (0.816, 0.160, 0.168)  -0.03
O (0.323, 0.323, 0.992)  -0.09
O (0.160, 0.816, 0.168)  -0.03
O (0.184, 0.840, 0.832)  -0.03
O (0.677, 0.677, 0.008)  -0.09
O (0.840, 0.184, 0.832)  -0.03
O (0.657, 0.658, 0.536)  -0.08
O (0.343, 0.342, 0.464)  -0.08
Np (0.489, 0.489, 0.763)  2.19
Np (0.511, 0.511, 0.237)  2.19
K (0.000, 0.000, 0.500)  0.00
P (0.000, 0.000, 0.000)  0.02

Computed properties:
The total energy is -99.5 eV per formula unit. As for the space-group type: No. 12. The magnetic moment comes out at 4.00 μB per formula unit. The density of states at the Fermi level comes out at 5.9 states/eV per cell. The volume comes out at 178.15 Å³/cell. As for the formation energy from raw total energies: -2291 meV per atom.

Entry 4:
Below is a geometry-optimized LiTlPd2S structure, with properties calculated at the PBE-GGA level.

a b c (Å): 4.664 4.664 4.485
angles (deg): 90.00 90.00 90.00
Positions (direct):
S (0.000, 0.000, 0.000)
Pd (0.000, 0.500, 0.000)
Pd (0.500, 0.000, 0.000)
Tl (0.500, 0.500, 0.500)
Li (0.000, 0.000, 0.500)

Computed properties:
The total energy is -20.7 eV per formula unit. As for the space-group type: No. 123. The magnetic moment comes out at 0.00 μB per formula unit. The density of states at the Fermi level comes out at 1.8 states/eV per cell. The volume comes out at 97.57 Å³/cell. As for the formation energy from raw total energies: -379 meV per atom.

Entry 5:
Below is a geometry-optimized Tb5DyTmIn2 structure, with properties calculated at the PBE-GGA level.

a b c (Å): 7.656 7.656 11.061
angles (deg): 110.25 110.25 90.00
Positions (direct):
In (0.623, 0.123, 0.000)
In (0.377, 0.877, 0.000)
In (0.877, 0.623, 0.000)
In (0.123, 0.377, 0.000)
Dy (0.250, 0.250, 0.500)
Dy (0.750, 0.750, 0.500)
Tb (0.576, 0.673, 0.749)
Tb (0.827, 0.924, 0.251)
Tb (0.076, 0.576, 0.749)
Tb (0.924, 0.424, 0.251)
Tb (0.673, 0.173, 0.749)
Tb (0.424, 0.327, 0.251)
Tb (0.327, 0.827, 0.251)
Tb (0.000, 0.000, 0.000)
Tb (0.500, 0.500, 0.000)
Tb (0.173, 0.076, 0.749)
Tm (0.750, 0.250, 0.500)
Tm (0.250, 0.750, 0.500)

Computed properties:
The total energy is -37.7 eV per formula unit. As for the space-group type: No. 140. The magnetic moment comes out at 0.00 μB per formula unit. The formation energy is 0 meV/atom. The density of states at the Fermi level comes out at 23.4 states/eV per cell. The volume comes out at 565.35 Å³/cell.

Entry 6:
Below is a geometry-optimized Fe2TcRu structure, with properties calculated at the PBE-GGA level.

a b c (Å): 4.230 4.230 4.230
angles (deg): 60.00 60.00 60.00
Last column: magnetic moment on the atom in μB.
Positions (direct):
Tc (0.750, 0.750, 0.750)  0.30
Fe (0.250, 0.250, 0.250)  2.76
Fe (0.000, 0.000, 0.000)  2.60
Ru (0.500, 0.500, 0.500)  0.67

Computed properties:
The total energy is -35.8 eV per formula unit. As for the space-group type: No. 216. The magnetic moment comes out at 6.32 μB per formula unit. As for the energy relative to the lowest polymorph listed for this composition: 40 kJ/mol of formula units. The formation energy is 199 meV/atom. The density of states at the Fermi level comes out at 4.3 states/eV per cell. The volume comes out at 53.54 Å³/cell.